(1)
Density functional theory data (GGA-PBEsol) for crystalline CdPt2Au at its relaxed geometry.

## Properties
For the energy, the calculation gives -19.51 eV/cell. As for the formation enthalpy at 0 K: -0.465 eV per formula unit.

POSCAR file:
```
CdPt2Au
1.0
2.8777 0.0000 0.0000
0.0000 2.8777 0.0000
0.0000 0.0000 7.8592
Pt Cd Au
2 1 1
Cartesian
0.0000 0.0000 5.9048
0.0000 0.0000 1.9545
1.4388 1.4388 3.9296
1.4388 1.4388 0.0000
```

***

(2)
Density functional theory data (GGA-PBEsol) for crystalline CdPt2Au at its relaxed geometry.

## Properties
For the energy, the calculation gives -19.22 eV/cell. As for the formation enthalpy at 0 K: -0.168 eV per formula unit.

POSCAR file:
```
CdPt2Au
1.0
-2.0695 -1.5275 -1.2155
0.4124 -2.7573 -0.5665
-3.8424 -3.6430 7.7907
Pt Cd Au
2 1 1
Cartesian
-3.8334 -3.6369 7.7676
-4.1398 -5.9560 4.5451
-1.3544 -1.9682 1.4501
-2.7641 -3.9736 3.0409
```